*a*
PBE TbGdGe, optimized geometry; calculated volume = 149.44 Å³/cell; symmetry = P6_3mc (186)
1.0
-1.7977 2.6573 4.0661
-0.0744 -5.1786 0.0527
5.8689 -0.0575 2.6324
Gd Ge Tb
2 2 2
direct
0.0000 0.0000 0.9962 Gd
0.0000 0.0000 0.4962 Gd
0.6667 0.3333 0.2489 Ge
0.3333 0.6667 0.7489 Ge
0.6667 0.3333 0.7468 Tb
0.3333 0.6667 0.2468 Tb



*b*
PBE TbGdGe, optimized geometry; calculated volume = 89.10 Å³/cell; symmetry = F-43m (216)
1.0
-4.3924 -1.1802 2.1091
-3.3391 3.5983 1.0180
-4.2303 0.3225 -2.6710
Tb Ge Gd
1 1 1
direct
0.7500 0.7500 0.7500 Tb
0.2500 0.2500 0.2500 Ge
0.0000 0.0000 0.0000 Gd



Which structure is the least stable? The one labeled *b*.



*a*
PBE ZrO3, optimized geometry; calculated volume = 94.75 Å³/cell; symmetry = C2 (5)
1.0
-2.6923 -6.2286 0.3118
-2.6926 6.2289 0.3115
2.1361 0.0000 -3.0719
Zr O
2 6
direct
0.1904 0.8094 0.0000 Zr
0.9755 0.0247 0.5001 Zr
0.0832 0.4173 0.7470 O
0.5828 0.9168 0.2530 O
0.2652 0.2406 0.2463 O
0.7595 0.7349 0.7538 O
0.4065 0.0994 0.7458 O
0.9004 0.5934 0.2541 O



*b*
PBE ZrO3, optimized geometry; calculated volume = 96.37 Å³/cell; symmetry = C2/m (12)
1.0
-2.9859 -5.3740 0.0708
-2.9859 5.3740 0.0708
2.0914 0.0000 -3.0524
O Zr
6 2
direct
0.4128 0.0752 0.7335 O
0.9248 0.5872 0.2665 O
0.5872 0.9248 0.2665 O
0.7479 0.7479 0.7734 O
0.2521 0.2521 0.2266 O
0.0752 0.4128 0.7335 O
0.8365 0.1635 0.0000 Zr
0.1635 0.8365 0.0000 Zr



Which structure is the least stable? The one labeled *b*.



*a*
PBE AcPPtO, optimized geometry; calculated volume = 157.00 Å³/cell; symmetry = Pmc2_1 (26)
1.0
-0.8096 -0.4550 3.4636
7.6908 0.4386 1.8554
-0.4596 5.4723 0.6115
P O Pt Ac
2 2 2 2
direct
0.0000 0.5497 0.8598 P
0.0000 0.4503 0.3598 P
0.5000 0.0225 0.6158 O
0.5000 0.9775 0.1158 O
0.5000 0.2780 0.3931 Pt
0.5000 0.7220 0.8931 Pt
0.0000 0.8466 0.3853 Ac
0.0000 0.1534 0.8853 Ac



*b*
PBE AcPPtO, optimized geometry; calculated volume = 154.84 Å³/cell; symmetry = P4/nmm (129)
1.0
4.2952 0.0000 0.0000
0.0000 4.2952 0.0000
0.0000 0.0000 8.3929
O Ac P Pt
2 2 2 2
direct
0.5000 0.5000 0.0000 O
0.0000 0.0000 0.0000 O
0.5000 0.0000 0.8521 Ac
0.0000 0.5000 0.1479 Ac
0.0000 0.5000 0.6345 P
0.5000 0.0000 0.3655 P
0.5000 0.5000 0.5000 Pt
0.0000 0.0000 0.5000 Pt



Which structure is the least stable? The one labeled *a*.



*a*
PBE RbCo, optimized geometry; calculated volume = 122.66 Å³/cell; symmetry = F-43m (216)
1.0
-2.3320 -1.1095 4.9432
-4.4609 -3.3344 0.2933
0.4671 -5.0934 2.2233
Co Rb
1 1
direct
0.0000 0.0000 0.0000 Co
0.2500 0.2500 0.2500 Rb



*b*
PBE RbCo, optimized geometry; calculated volume = 56.46 Å³/cell; symmetry = Amm2 (38)
1.0
4.5053 0.0000 0.0000
-2.2527 2.3120 0.0000
0.0000 0.0000 5.4203
Rb Co
1 1
direct
0.2488 0.4975 0.2500 Rb
0.7512 0.5025 0.7500 Co



Which structure is the least stable? The one labeled *a*.



*a*
PBE LaZnInSe3, optimized geometry; calculated volume = 637.71 Å³/cell; symmetry = Pnma (62)
1.0
-2.3249 -4.2654 -7.0338
3.9061 0.9439 -1.8635
6.4883 -14.1472 6.4345
Zn In Se La
4 4 12 4
direct
0.3587 0.7500 0.1407 Zn
0.1413 0.2500 0.6407 Zn
0.8587 0.7500 0.3593 Zn
0.6413 0.2500 0.8593 Zn
0.4273 0.7500 0.7161 In
0.5727 0.2500 0.2839 In
0.0727 0.2500 0.2161 In
0.9273 0.7500 0.7839 In
0.4995 0.2500 0.0950 Se
0.9995 0.2500 0.4050 Se
0.3077 0.7500 0.2825 Se
0.6257 0.7500 0.4459 Se
0.1923 0.2500 0.7825 Se
0.0005 0.7500 0.5950 Se
0.1257 0.7500 0.0541 Se
0.6923 0.2500 0.7175 Se
0.8743 0.2500 0.9459 Se
0.3743 0.2500 0.5541 Se
0.8077 0.7500 0.2175 Se
0.5005 0.7500 0.9050 Se
0.7463 0.2500 0.5469 La
0.2463 0.2500 0.9531 La
0.7537 0.7500 0.0469 La
0.2537 0.7500 0.4531 La



*b*
PBE LaZnInSe3, optimized geometry; calculated volume = 359.62 Å³/cell; symmetry = P2_1/m (11)
1.0
-6.6100 0.6300 4.8753
-0.9857 -4.0611 -0.8116
7.8136 -3.1813 6.4285
Se La Zn In
6 2 2 2
direct
0.2843 0.2500 0.9389 Se
0.9605 0.7500 0.6505 Se
0.5240 0.2500 0.3304 Se
0.4760 0.7500 0.6696 Se
0.7157 0.7500 0.0611 Se
0.0395 0.2500 0.3495 Se
0.2125 0.2500 0.6329 La
0.7875 0.7500 0.3671 La
0.5680 0.2500 0.1085 Zn
0.4320 0.7500 0.8915 Zn
0.7855 0.2500 0.8009 In
0.2145 0.7500 0.1991 In



Which structure is the least stable? The one labeled *a*.



*a*
PBE NdB4Sb, optimized geometry; calculated volume = 75.98 Å³/cell; symmetry = P6/mmm (191)
1.0
3.2555 0.0000 0.0000
-1.6278 2.8194 0.0000
0.0000 0.0000 8.2778
B Nd Sb
4 1 1
direct
0.3333 0.6667 0.2506 B
0.6667 0.3333 0.7494 B
0.3333 0.6667 0.7494 B
0.6667 0.3333 0.2506 B
0.0000 0.0000 0.0000 Nd
0.0000 0.0000 0.5000 Sb



*b*
PBE NdB4Sb, optimized geometry; calculated volume = 76.95 Å³/cell; symmetry = Immm (71)
1.0
2.7953 -4.3580 1.7357
-3.1410 -3.1893 3.1274
0.7326 2.1018 -4.9864
B Sb Nd
4 1 1
direct
0.9402 0.2622 0.6780 B
0.4158 0.7378 0.6780 B
0.0598 0.7378 0.3220 B
0.5842 0.2622 0.3220 B
0.5000 0.5000 0.0000 Sb
0.0000 0.0000 0.0000 Nd



Which structure is the least stable? The one labeled *a*.



*a*
PBE GdYAu, optimized geometry; calculated volume = 86.57 Å³/cell; symmetry = F-43m (216)
1.0
0.0000 3.5111 3.5111
3.5111 0.0000 3.5111
3.5111 3.5111 0.0000
Au Gd Y
1 1 1
direct
0.0000 0.0000 0.0000 Au
0.2500 0.2500 0.2500 Gd
0.7500 0.7500 0.7500 Y



*b*
PBE GdYAu, optimized geometry; calculated volume = 318.28 Å³/cell; symmetry = Pnma (62)
1.0
7.1211 0.0000 0.0000
0.0000 4.9704 0.0000
0.0000 0.0000 8.9922
Gd Au Y
4 4 4
direct
0.1507 0.2500 0.5815 Gd
0.8493 0.7500 0.4185 Gd
0.6507 0.2500 0.9185 Gd
0.3493 0.7500 0.0815 Gd
0.2414 0.2500 0.9005 Au
0.2586 0.7500 0.4005 Au
0.7586 0.7500 0.0995 Au
0.7414 0.2500 0.5995 Au
0.5123 0.2500 0.3234 Y
0.9877 0.7500 0.8234 Y
0.0123 0.2500 0.1766 Y
0.4877 0.7500 0.6766 Y



Which structure is the least stable? The one labeled *a*.